1.
The following is a PBE calculation of TeSO4 after structural relaxation, from Alexandria. Values from VASP.

```
&SYSTEM
  ibrav = 0, nat = 12, ntyp = 3
/
ATOMIC_SPECIES
Te 127.60 Te.upf
S 32.06 S.upf
O 16.00 O.upf
ATOMIC_POSITIONS crystal
Te 0.564 0.436 0.250
Te 0.436 0.564 0.750
S 0.111 0.889 0.750
S 0.889 0.111 0.250
O 0.315 0.378 0.346
O 0.746 0.087 0.006
O 0.622 0.685 0.154
O 0.913 0.254 0.494
O 0.087 0.746 0.506
O 0.378 0.315 0.846
O 0.254 0.913 0.994
O 0.685 0.622 0.654
CELL_PARAMETERS angstrom
-7.580 0.644 0.211
2.828 -5.981 -3.762
1.028 -1.414 5.053
```

Fermi-level density of states = 0.00 states/eV per cell
Calculated volume = 21.51 A^3/atom
Density = 2.9 g cm⁻³
Raw total energy = -66.32 eV per cell
Symmetry = C2/c

---

2.
The following is a PBE calculation of MgZrNO2 after structural relaxation, from Alexandria. Values from VASP.

```
&SYSTEM
  ibrav = 0, nat = 5, ntyp = 4
/
ATOMIC_SPECIES
Mg 24.30 Mg.upf
O 16.00 O.upf
Zr 91.22 Zr.upf
N 14.01 N.upf
ATOMIC_POSITIONS crystal
Mg 0.000 0.000 0.000
O 0.000 0.500 0.000
O 0.500 0.000 0.000
Zr 0.500 0.500 0.500
N 0.000 0.000 0.500
CELL_PARAMETERS angstrom
-3.172 0.985 -1.660
1.061 -1.779 -3.082
-1.710 -3.295 1.312
```

Fermi-level density of states = 1.62 states/eV per cell
Calculated volume = 10.86 A^3/atom
Density = 4.9 g cm⁻³
Raw total energy = -33.98 eV per cell
Symmetry = P4/mmm

---

3.
The following is a PBE calculation of Cs2Ce2ScS6 after structural relaxation, from Alexandria. Values from VASP.

```
&SYSTEM
  ibrav = 0, nat = 11, ntyp = 4
/
ATOMIC_SPECIES
Cs 132.91 Cs.upf
Ce 140.12 Ce.upf
Sc 44.96 Sc.upf
S 32.06 S.upf
ATOMIC_POSITIONS crystal
Cs 0.832 0.168 0.000
Cs 0.168 0.832 0.000
Ce 0.334 0.666 0.500
Ce 0.666 0.334 0.500
Sc 0.000 0.000 0.500
S 0.744 0.744 0.674
S 0.058 0.377 0.675
S 0.256 0.256 0.326
S 0.377 0.058 0.675
S 0.942 0.623 0.325
S 0.623 0.942 0.325
CELL_PARAMETERS angstrom
7.006 -0.003 0.066
-3.465 6.089 0.066
-1.257 -2.161 8.153
```

Fermi-level density of states = 6.21 states/eV per cell
Calculated volume = 31.80 A^3/atom
Density = 3.7 g cm⁻³
Raw total energy = -64.35 eV per cell
Symmetry = C2/m

---

Number 1: size of the total moment 0.0 μB/f.u.. Number 2: size of the total moment 1.0 μB/f.u.. Number 3: size of the total moment 1.0 μB/f.u..